Record 1
## Pm4Nd9Tl11 (GGA-PBE)

Data for a relaxed Pm4Nd9Tl11 crystal.

Structure (CIF):
```
data_Pm4Nd9Tl11
_symmetry_space_group_name_H-M 'C m m m'
_symmetry_Int_Tables_number 65
_symmetry_space_group_name_Hall '-C 2 2'
_cell_length_a 18.1478
_cell_length_b 21.7008
_cell_length_c 3.6476
_cell_angle_alpha 90.00
_cell_angle_beta 90.00
_cell_angle_gamma 90.00
loop_
_atom_site_label
_atom_site_type_symbol
_atom_site_fract_x
_atom_site_fract_y
_atom_site_fract_z
Pm1 Pm 0.1532 0.0838 0.0000
Nd1 Nd 0.0000 0.0000 0.0000
Nd2 Nd 0.1181 0.2391 0.0000
Nd3 Nd 0.1179 0.4113 0.0000
Tl1 Tl 0.0000 0.1373 0.5000
Tl2 Tl 0.0000 0.3263 0.5000
Tl3 Tl 0.0000 0.5000 0.5000
Tl4 Tl 0.2328 0.5000 0.5000
Tl5 Tl 0.2409 0.3255 0.5000
```

E_form, kcal/mol of atoms: -7.2
Total magnetic moment, μB/cell: 0.00



Record 2
## SbBr2Cl (GGA-PBE)

Data for a relaxed SbBr2Cl crystal.

Structure (CIF):
```
data_SbBr2Cl
_symmetry_space_group_name_H-M 'P 4/m m m'
_symmetry_Int_Tables_number 123
_symmetry_space_group_name_Hall '-P 4 2'
_cell_length_a 4.5588
_cell_length_b 4.5588
_cell_length_c 4.7249
_cell_angle_alpha 90.00
_cell_angle_beta 90.00
_cell_angle_gamma 90.00
loop_
_atom_site_label
_atom_site_type_symbol
_atom_site_fract_x
_atom_site_fract_y
_atom_site_fract_z
Sb1 Sb 0.0000 0.0000 0.0000
Br1 Br 0.0000 0.5000 0.5000
Cl1 Cl 0.5000 0.5000 0.0000
```

Polymorph energy (0 for the lowest one), eV per atom: 0.820
Total magnetic moment, μB/cell: 0.00
Formation energy (no corrections), meV per atom: 126



Record 3
## RbMn3Fe (GGA-PBE)

Data for a relaxed RbMn3Fe crystal.

Structure (CIF):
```
data_RbMn3Fe
_symmetry_space_group_name_H-M 'P m -3 m'
_symmetry_Int_Tables_number 221
_symmetry_space_group_name_Hall '-P 4 2 3'
_cell_length_a 4.2906
_cell_length_b 4.2906
_cell_length_c 4.2906
_cell_angle_alpha 90.00
_cell_angle_beta 90.00
_cell_angle_gamma 90.00
loop_
_atom_site_label
_atom_site_type_symbol
_atom_site_fract_x
_atom_site_fract_y
_atom_site_fract_z
Rb1 Rb 0.0000 0.0000 0.0000
Mn1 Mn 0.0000 0.0000 0.5000
Fe1 Fe 0.5000 0.5000 0.5000
```

Polymorph energy (0 for the lowest one), eV per atom: 2.307
E_form, kcal/mol of atoms: 78.8
Total magnetic moment, μB/cell: 0.00



Record 4
## SrSbIrI2 (GGA-PBE)

Data for a relaxed SrSbIrI2 crystal.

Structure (CIF):
```
data_SrSbIrI2
_symmetry_space_group_name_H-M 'P 4/m m m'
_symmetry_Int_Tables_number 123
_symmetry_space_group_name_Hall '-P 4 2'
_cell_length_a 5.6684
_cell_length_b 5.6684
_cell_length_c 5.1108
_cell_angle_alpha 90.00
_cell_angle_beta 90.00
_cell_angle_gamma 90.00
loop_
_atom_site_label
_atom_site_type_symbol
_atom_site_fract_x
_atom_site_fract_y
_atom_site_fract_z
Sr1 Sr 0.0000 0.0000 0.0000
Sb1 Sb 0.5000 0.5000 0.0000
Ir1 Ir 0.5000 0.5000 0.5000
I1 I 0.0000 0.5000 0.5000
```

Polymorph energy (0 for the lowest one), eV per atom: 0.000
Total magnetic moment, μB/cell: 0.00
Formation energy (no corrections), meV per atom: -231



Record 5
## Mg2InAu (GGA-PBE)

Data for a relaxed Mg2InAu crystal.

Structure (CIF):
```
data_Mg2InAu
_symmetry_space_group_name_H-M 'F -4 3 m'
_symmetry_Int_Tables_number 216
_symmetry_space_group_name_Hall 'F -4 2 3'
_cell_length_a 6.8642
_cell_length_b 6.8642
_cell_length_c 6.8642
_cell_angle_alpha 90.00
_cell_angle_beta 90.00
_cell_angle_gamma 90.00
loop_
_atom_site_label
_atom_site_type_symbol
_atom_site_fract_x
_atom_site_fract_y
_atom_site_fract_z
Mg1 Mg 0.0000 0.0000 0.0000
Mg2 Mg 0.2500 0.2500 0.2500
In1 In 0.0000 0.0000 0.5000
Au1 Au 0.2500 0.2500 0.7500
```

E_form, kcal/mol of atoms: -4.5
Total magnetic moment, μB/cell: 0.00



Record 6
## Li3SbH (GGA-PBE)

Data for a relaxed Li3SbH crystal.

Structure (CIF):
```
data_Li3SbH
_symmetry_space_group_name_H-M 'P 1 21/c 1'
_symmetry_Int_Tables_number 14
_cell_length_a 7.8360
_cell_length_b 5.2591
_cell_length_c 9.6477
_cell_angle_alpha 90.00
_cell_angle_beta 127.98
_cell_angle_gamma 90.00
loop_
_symmetry_equiv_pos_as_xyz
'x,y,z'
'-x,-y,-z'
'-x,y+1/2,-z+1/2'
'x,-y+1/2,z+1/2'
loop_
_atom_site_label
_atom_site_type_symbol
_atom_site_fract_x
_atom_site_fract_y
_atom_site_fract_z
Li1 Li 0.0184 0.2485 0.3613
Li2 Li 0.2504 0.7490 0.5441
Li3 Li 0.4811 0.2499 0.0930
Sb1 Sb 0.2500 0.2504 0.2301
H1 H 0.2503 0.7475 0.7322
```

Polymorph energy (0 for the lowest one), eV per atom: 0.104
Total magnetic moment, μB/cell: 0.00



Record 7
## LiNiSnPb (GGA-PBE)

Data for a relaxed LiNiSnPb crystal.

Structure (CIF):
```
data_LiNiSnPb
_symmetry_space_group_name_H-M 'F -4 3 m'
_symmetry_Int_Tables_number 216
_symmetry_space_group_name_Hall 'F -4 2 3'
_cell_length_a 6.7247
_cell_length_b 6.7247
_cell_length_c 6.7247
_cell_angle_alpha 90.00
_cell_angle_beta 90.00
_cell_angle_gamma 90.00
loop_
_atom_site_label
_atom_site_type_symbol
_atom_site_fract_x
_atom_site_fract_y
_atom_site_fract_z
Li1 Li 0.0000 0.0000 0.0000
Ni1 Ni 0.0000 0.0000 0.5000
Sn1 Sn 0.2500 0.2500 0.7500
Pb1 Pb 0.2500 0.2500 0.2500
```

E_form, kcal/mol of atoms: -1.4
Total magnetic moment, μB/cell: 0.00



Record 8
## La2PmPd (GGA-PBE)

Data for a relaxed La2PmPd crystal.

Structure (CIF):
```
data_La2PmPd
_symmetry_space_group_name_H-M 'P 4/m m m'
_symmetry_Int_Tables_number 123
_symmetry_space_group_name_Hall '-P 4 2'
_cell_length_a 3.7568
_cell_length_b 3.7568
_cell_length_c 8.5999
_cell_angle_alpha 90.00
_cell_angle_beta 90.00
_cell_angle_gamma 90.00
loop_
_atom_site_label
_atom_site_type_symbol
_atom_site_fract_x
_atom_site_fract_y
_atom_site_fract_z
La1 La 0.0000 0.0000 0.2031
Pm1 Pm 0.5000 0.5000 0.5000
Pd1 Pd 0.5000 0.5000 0.0000
```

Polymorph energy (0 for the lowest one), eV per atom: 0.078
E_form, kcal/mol of atoms: -7.7
Total magnetic moment, μB/cell: 0.00



Record 9
## TaSiCl2 (GGA-PBE)

Data for a relaxed TaSiCl2 crystal.

Structure (CIF):
```
data_TaSiCl2
_symmetry_space_group_name_H-M 'F -4 3 m'
_symmetry_Int_Tables_number 216
_symmetry_space_group_name_Hall 'F -4 2 3'
_cell_length_a 6.5781
_cell_length_b 6.5781
_cell_length_c 6.5781
_cell_angle_alpha 90.00
_cell_angle_beta 90.00
_cell_angle_gamma 90.00
loop_
_atom_site_label
_atom_site_type_symbol
_atom_site_fract_x
_atom_site_fract_y
_atom_site_fract_z
Ta1 Ta 0.0000 0.0000 0.0000
Si1 Si 0.2500 0.2500 0.7500
Cl1 Cl 0.0000 0.0000 0.5000
Cl2 Cl 0.2500 0.2500 0.2500
```

Polymorph energy (0 for the lowest one), eV per atom: 1.083
Total magnetic moment, μB/cell: 0.00
Formation energy (no corrections), meV per atom: 601



Record 10
## KNb2V (GGA-PBE)

Data for a relaxed KNb2V crystal.

Structure (CIF):
```
data_KNb2V
_symmetry_space_group_name_H-M 'I -4 2 d'
_symmetry_Int_Tables_number 122
_symmetry_space_group_name_Hall 'I -4 2bw'
_cell_length_a 5.3809
_cell_length_b 5.3809
_cell_length_c 16.4704
_cell_angle_alpha 90.00
_cell_angle_beta 90.00
_cell_angle_gamma 90.00
loop_
_atom_site_label
_atom_site_type_symbol
_atom_site_fract_x
_atom_site_fract_y
_atom_site_fract_z
K1 K 0.0000 0.0000 0.0000
Nb1 Nb 0.0014 0.7500 0.6250
V1 V 0.0000 0.0000 0.5000
```

Polymorph energy (0 for the lowest one), eV per atom: 0.298
E_form, kcal/mol of atoms: 40.1
Total magnetic moment, μB/cell: 0.00



Record 11
## Nb2Ni4Pd (GGA-PBE)

Data for a relaxed Nb2Ni4Pd crystal.

Structure (CIF):
```
data_Nb2Ni4Pd
_symmetry_space_group_name_H-M 'I 4/m m m'
_symmetry_Int_Tables_number 139
_symmetry_space_group_name_Hall '-I 4 2'
_cell_length_a 6.2252
_cell_length_b 6.2252
_cell_length_c 5.1602
_cell_angle_alpha 90.00
_cell_angle_beta 90.00
_cell_angle_gamma 90.00
loop_
_atom_site_label
_atom_site_type_symbol
_atom_site_fract_x
_atom_site_fract_y
_atom_site_fract_z
Nb1 Nb 0.0000 0.5000 0.2500
Ni1 Ni 0.1925 0.1925 0.0000
Pd1 Pd 0.0000 0.0000 0.5000
```

E_form, kcal/mol of atoms: 2.2
Total magnetic moment, μB/cell: 0.00



Record 12
## Pm3Nd2Sb2 (GGA-PBE)

Data for a relaxed Pm3Nd2Sb2 crystal.

Structure (CIF):
```
data_Pm3Nd2Sb2
_symmetry_space_group_name_H-M 'C 1 2/m 1'
_symmetry_Int_Tables_number 12
_cell_length_a 12.4036
_cell_length_b 4.3659
_cell_length_c 8.7972
_cell_angle_alpha 90.00
_cell_angle_beta 108.60
_cell_angle_gamma 90.00
loop_
_symmetry_equiv_pos_as_xyz
'x,y,z'
'-x,-y,-z'
'-x,y,-z'
'x,-y,z'
'x+1/2,y+1/2,z'
'-x+1/2,-y+1/2,-z'
'-x+1/2,y+1/2,-z'
'x+1/2,-y+1/2,z'
loop_
_atom_site_label
_atom_site_type_symbol
_atom_site_fract_x
_atom_site_fract_y
_atom_site_fract_z
Pm1 Pm 0.0000 0.0000 0.0000
Pm2 Pm 0.1272 0.0000 0.4490
Nd1 Nd 0.1375 0.5000 0.7981
Sb1 Sb 0.1716 0.5000 0.1993
```

Total magnetic moment, μB/cell: 0.00
Formation energy (no corrections), meV per atom: -656